## MgAl3Ir2 (GGA-PBE)

Data for an optimized crystal structure of MgAl3Ir2. Values from VASP.

Cell and atoms, written as Quantum ESPRESSO input:
```
&SYSTEM
  ibrav = 0, nat = 12, ntyp = 3
/
ATOMIC_SPECIES
Mg 24.30 Mg.upf
Al 26.98 Al.upf
Ir 192.22 Ir.upf
CELL_PARAMETERS angstrom
4.4810 -4.2292 0.0000
4.4810 4.2292 0.0000
0.0000 0.0000 5.6630
ATOMIC_POSITIONS crystal
Mg 0.0266 0.9734 0.7500
Mg 0.9734 0.0266 0.2500
Al 0.0133 0.5177 0.2500
Al 0.4823 0.9867 0.2500
Al 0.4910 0.5090 0.7500
Al 0.5090 0.4910 0.2500
Al 0.5177 0.0133 0.7500
Al 0.9867 0.4823 0.7500
Ir 0.2657 0.2657 0.0000
Ir 0.2657 0.2657 0.5000
Ir 0.7343 0.7343 0.0000
Ir 0.7343 0.7343 0.5000
```

Summary:
The magnetic moment comes out at 0.0 μB/cell. The value obtained for the formation energy is -0.649 eV per atom.